# 1
# BaHOF2 (GGA-PBE, relaxed)
data_BaHOF2
_space_group_name_H-M_alt 'P 4/m m m'
_space_group_IT_number 123
_space_group_name_Hall '-P 4 2'
_cell_length_a 4.3960
_cell_length_b 4.3960
_cell_length_c 3.1854
_cell_angle_alpha 90.00
_cell_angle_beta 90.00
_cell_angle_gamma 90.00
loop_
_atom_site_label
_atom_site_type_symbol
_atom_site_fract_x
_atom_site_fract_y
_atom_site_fract_z
Ba1 Ba 0.0000 0.0000 0.0000
H1 H 0.5000 0.5000 0.5000
O1 O 0.5000 0.5000 0.0000
F1 F 0.0000 0.5000 0.5000
# VASP energy	-4.4939	eV/atom

***

# 2
# BaHOF (GGA-PBE, relaxed)
data_BaHOF
_space_group_name_H-M_alt 'P m m 2'
_space_group_IT_number 25
_cell_length_a 3.5909
_cell_length_b 4.2948
_cell_length_c 4.3216
_cell_angle_alpha 90.00
_cell_angle_beta 90.00
_cell_angle_gamma 90.00
loop_
_space_group_symop_operation_xyz
'x,y,z'
'-x,-y,z'
'-x,y,z'
'x,-y,z'
loop_
_atom_site_label
_atom_site_type_symbol
_atom_site_fract_x
_atom_site_fract_y
_atom_site_fract_z
Ba1 Ba 0.0000 0.0000 0.0000
H1 H 0.5000 0.5000 0.7071
O1 O 0.5000 0.5000 0.9334
F1 F 0.5000 0.0000 0.4713
# VASP energy	-5.5038	eV/atom

***

# 3
# BaPHF2 (GGA-PBE, relaxed)
data_BaPHF2
_space_group_name_H-M_alt 'P 4/m m m'
_space_group_IT_number 123
_space_group_name_Hall '-P 4 2'
_cell_length_a 4.7398
_cell_length_b 4.7398
_cell_length_c 3.4553
_cell_angle_alpha 90.00
_cell_angle_beta 90.00
_cell_angle_gamma 90.00
loop_
_atom_site_label
_atom_site_type_symbol
_atom_site_fract_x
_atom_site_fract_y
_atom_site_fract_z
Ba1 Ba 0.0000 0.0000 0.0000
P1 P 0.5000 0.5000 0.0000
H1 H 0.5000 0.5000 0.5000
F1 F 0.0000 0.5000 0.5000
# VASP energy	-4.2520	eV/atom

***

# 4
# BaH2PbF8 (GGA-PBE, relaxed)
data_BaH2PbF8
_space_group_name_H-M_alt 'P -1'
_space_group_IT_number 2
_cell_length_a 4.8236
_cell_length_b 5.1072
_cell_length_c 8.0363
_cell_angle_alpha 96.41
_cell_angle_beta 95.04
_cell_angle_gamma 108.72
loop_
_space_group_symop_operation_xyz
'x,y,z'
'-x,-y,-z'
loop_
_atom_site_label
_atom_site_type_symbol
_atom_site_fract_x
_atom_site_fract_y
_atom_site_fract_z
Ba1 Ba 0.0000 0.0000 0.0000
H1 H 0.3175 0.5239 0.8241
Pb1 Pb 0.0000 0.0000 0.5000
F1 F 0.2051 0.2163 0.3104
F2 F 0.2526 0.2763 0.7446
F3 F 0.2601 0.7586 0.4969
F4 F 0.3576 0.6976 0.9194
# VASP energy	-4.5499	eV/atom

***

# 5
# BaH2PdF8 (GGA-PBE, relaxed)
data_BaH2PdF8
_space_group_name_H-M_alt 'P -1'
_space_group_IT_number 2
_cell_length_a 5.2073
_cell_length_b 5.2101
_cell_length_c 7.4998
_cell_angle_alpha 76.80
_cell_angle_beta 76.95
_cell_angle_gamma 62.63
loop_
_space_group_symop_operation_xyz
'x,y,z'
'-x,-y,-z'
loop_
_atom_site_label
_atom_site_type_symbol
_atom_site_fract_x
_atom_site_fract_y
_atom_site_fract_z
Ba1 Ba 0.0000 0.0000 0.0000
H1 H 0.2788 0.2787 0.2354
Pd1 Pd 0.0000 0.0000 0.5000
F1 F 0.2273 0.2282 0.4197
F2 F 0.2371 0.7537 0.6946
F3 F 0.2466 0.7634 0.3062
F4 F 0.3111 0.3109 0.0918
# VASP energy	-4.4381	eV/atom

***

# 6
# BaH2PtF8 (GGA-PBE, relaxed)
data_BaH2PtF8
_space_group_name_H-M_alt 'P -1'
_space_group_IT_number 2
_cell_length_a 5.2213
_cell_length_b 5.2229
_cell_length_c 7.5567
_cell_angle_alpha 77.10
_cell_angle_beta 77.28
_cell_angle_gamma 62.57
loop_
_space_group_symop_operation_xyz
'x,y,z'
'-x,-y,-z'
loop_
_atom_site_label
_atom_site_type_symbol
_atom_site_fract_x
_atom_site_fract_y
_atom_site_fract_z
Ba1 Ba 0.0000 0.0000 0.0000
H1 H 0.2792 0.2797 0.2340
Pt1 Pt 0.0000 0.0000 0.5000
F1 F 0.2284 0.2299 0.4173
F2 F 0.2361 0.7536 0.6973
F3 F 0.2473 0.7645 0.3036
F4 F 0.3100 0.3108 0.0920
# VASP energy	-4.5474	eV/atom

***

# 7
# Ba2HPtF (GGA-PBE, relaxed)
data_Ba2HPtF
_space_group_name_H-M_alt 'P 4/m m m'
_space_group_IT_number 123
_space_group_name_Hall '-P 4 2'
_cell_length_a 5.9876
_cell_length_b 5.9876
_cell_length_c 3.7975
_cell_angle_alpha 90.00
_cell_angle_beta 90.00
_cell_angle_gamma 90.00
loop_
_atom_site_label
_atom_site_type_symbol
_atom_site_fract_x
_atom_site_fract_y
_atom_site_fract_z
Ba1 Ba 0.0000 0.5000 0.0000
H1 H 0.0000 0.0000 0.5000
Pt1 Pt 0.0000 0.0000 0.0000
F1 F 0.5000 0.5000 0.5000
# VASP energy	-4.0449	eV/atom

***

# 8
# Rb2BaHF6 (GGA-PBE, relaxed)
data_Rb2BaHF6
_space_group_name_H-M_alt 'I 4/m m m'
_space_group_IT_number 139
_space_group_name_Hall '-I 4 2'
_cell_length_a 5.8421
_cell_length_b 5.8421
_cell_length_c 11.8304
_cell_angle_alpha 90.00
_cell_angle_beta 90.00
_cell_angle_gamma 90.00
loop_
_atom_site_label
_atom_site_type_symbol
_atom_site_fract_x
_atom_site_fract_y
_atom_site_fract_z
Rb1 Rb 0.0000 0.5000 0.2500
Ba1 Ba 0.0000 0.0000 0.0000
H1 H 0.0000 0.0000 0.5000
F1 F 0.0000 0.0000 0.2150
F2 F 0.1890 0.1890 0.5000
# VASP energy	-4.0947	eV/atom

***

# 9
# RbBaHF2 (GGA-PBE, relaxed)
data_RbBaHF2
_space_group_name_H-M_alt 'P 4/m m m'
_space_group_IT_number 123
_space_group_name_Hall '-P 4 2'
_cell_length_a 5.0988
_cell_length_b 5.0988
_cell_length_c 5.2068
_cell_angle_alpha 90.00
_cell_angle_beta 90.00
_cell_angle_gamma 90.00
loop_
_atom_site_label
_atom_site_type_symbol
_atom_site_fract_x
_atom_site_fract_y
_atom_site_fract_z
Rb1 Rb 0.0000 0.0000 0.0000
Ba1 Ba 0.5000 0.5000 0.5000
H1 H 0.5000 0.5000 0.0000
F1 F 0.0000 0.5000 0.5000
# VASP energy	-4.2616	eV/atom

***

# 10
# BaHRh2F (GGA-PBE, relaxed)
data_BaHRh2F
_space_group_name_H-M_alt 'P 4/m m m'
_space_group_IT_number 123
_space_group_name_Hall '-P 4 2'
_cell_length_a 4.1066
_cell_length_b 4.1066
_cell_length_c 5.6847
_cell_angle_alpha 90.00
_cell_angle_beta 90.00
_cell_angle_gamma 90.00
loop_
_atom_site_label
_atom_site_type_symbol
_atom_site_fract_x
_atom_site_fract_y
_atom_site_fract_z
Ba1 Ba 0.0000 0.0000 0.0000
H1 H 0.5000 0.5000 0.0000
Rh1 Rh 0.0000 0.5000 0.5000
F1 F 0.5000 0.5000 0.5000
# VASP energy	-4.3388	eV/atom

***

# 11
# BaH2RuF8 (GGA-PBE, relaxed)
data_BaH2RuF8
_space_group_name_H-M_alt 'P -1'
_space_group_IT_number 2
_cell_length_a 4.9960
_cell_length_b 5.0624
_cell_length_c 7.5204
_cell_angle_alpha 98.72
_cell_angle_beta 92.58
_cell_angle_gamma 110.36
loop_
_space_group_symop_operation_xyz
'x,y,z'
'-x,-y,-z'
loop_
_atom_site_label
_atom_site_type_symbol
_atom_site_fract_x
_atom_site_fract_y
_atom_site_fract_z
Ba1 Ba 0.0000 0.0000 0.0000
H1 H 0.4554 0.6921 0.1954
Ru1 Ru 0.0000 0.0000 0.5000
F1 F 0.2096 0.7561 0.4818
F2 F 0.2368 0.2073 0.3236
F3 F 0.2652 0.2375 0.7246
F4 F 0.3025 0.6518 0.0908
# VASP energy	-4.9188	eV/atom

***

# 12
# BaScH2F8 (GGA-PBE, relaxed)
data_BaScH2F8
_space_group_name_H-M_alt 'C 1 2/m 1'
_space_group_IT_number 12
_cell_length_a 7.8121
_cell_length_b 4.8926
_cell_length_c 8.5479
_cell_angle_alpha 90.00
_cell_angle_beta 90.38
_cell_angle_gamma 90.00
loop_
_space_group_symop_operation_xyz
'x,y,z'
'-x,-y,-z'
'-x,y,-z'
'x,-y,z'
'x+1/2,y+1/2,z'
'-x+1/2,-y+1/2,-z'
'-x+1/2,y+1/2,-z'
'x+1/2,-y+1/2,z'
loop_
_atom_site_label
_atom_site_type_symbol
_atom_site_fract_x
_atom_site_fract_y
_atom_site_fract_z
Ba1 Ba 0.0000 0.0000 0.0000
Sc1 Sc 0.0000 0.0000 0.5000
H1 H 0.0012 0.5000 0.6934
F1 F 0.0013 0.2649 0.6940
F2 F 0.1574 0.5000 0.0018
F3 F 0.2459 0.5000 0.5001
# VASP energy	-5.2375	eV/atom

***

# 13
# BaSrH2F (GGA-PBE, relaxed)
data_BaSrH2F
_space_group_name_H-M_alt 'P 4/m m m'
_space_group_IT_number 123
_space_group_name_Hall '-P 4 2'
_cell_length_a 4.7777
_cell_length_b 4.7777
_cell_length_c 4.7435
_cell_angle_alpha 90.00
_cell_angle_beta 90.00
_cell_angle_gamma 90.00
loop_
_atom_site_label
_atom_site_type_symbol
_atom_site_fract_x
_atom_site_fract_y
_atom_site_fract_z
Ba1 Ba 0.0000 0.0000 0.0000
Sr1 Sr 0.5000 0.5000 0.5000
H1 H 0.0000 0.5000 0.5000
F1 F 0.5000 0.5000 0.0000
# VASP energy	-3.6862	eV/atom

***

# 14
# Ba2TeHF (GGA-PBE, relaxed)
data_Ba2TeHF
_space_group_name_H-M_alt 'I -4 m 2'
_space_group_IT_number 119
_space_group_name_Hall 'I -4 -2'
_cell_length_a 4.4159
_cell_length_b 4.4159
_cell_length_c 14.1266
_cell_angle_alpha 90.00
_cell_angle_beta 90.00
_cell_angle_gamma 90.00
loop_
_atom_site_label
_atom_site_type_symbol
_atom_site_fract_x
_atom_site_fract_y
_atom_site_fract_z
Ba1 Ba 0.0000 0.0000 0.1427
Te1 Te 0.0000 0.0000 0.5000
H1 H 0.0000 0.5000 0.2500
F1 F 0.0000 0.5000 0.7500
# VASP energy	-4.4662	eV/atom

***

# 15
# BaTlHF2 (GGA-PBE, relaxed)
data_BaTlHF2
_space_group_name_H-M_alt 'P 4/m m m'
_space_group_IT_number 123
_space_group_name_Hall '-P 4 2'
_cell_length_a 4.8715
_cell_length_b 4.8715
_cell_length_c 9.7001
_cell_angle_alpha 90.00
_cell_angle_beta 90.00
_cell_angle_gamma 90.00
loop_
_atom_site_label
_atom_site_type_symbol
_atom_site_fract_x
_atom_site_fract_y
_atom_site_fract_z
Ba1 Ba 0.0000 0.0000 0.0000
Tl1 Tl 0.0000 0.0000 0.5000
H1 H 0.5000 0.5000 0.5000
F1 F 0.0000 0.5000 0.0000
# VASP energy	-3.8738	eV/atom

***

# 16
# BaZnH2F8 (GGA-PBE, relaxed)
data_BaZnH2F8
_space_group_name_H-M_alt 'C 1 2/m 1'
_space_group_IT_number 12
_cell_length_a 7.9590
_cell_length_b 4.9102
_cell_length_c 8.2370
_cell_angle_alpha 90.00
_cell_angle_beta 92.90
_cell_angle_gamma 90.00
loop_
_space_group_symop_operation_xyz
'x,y,z'
'-x,-y,-z'
'-x,y,-z'
'x,-y,z'
'x+1/2,y+1/2,z'
'-x+1/2,-y+1/2,-z'
'-x+1/2,y+1/2,-z'
'x+1/2,-y+1/2,z'
loop_
_atom_site_label
_atom_site_type_symbol
_atom_site_fract_x
_atom_site_fract_y
_atom_site_fract_z
Ba1 Ba 0.0000 0.0000 0.0000
Zn1 Zn 0.0000 0.0000 0.5000
H1 H 0.0089 0.5000 0.6892
F1 F 0.0097 0.2665 0.6952
F2 F 0.1487 0.5000 0.0100
F3 F 0.2383 0.0000 0.4991
# VASP energy	-4.0828	eV/atom

***

# 17
# Ba2HfF (GGA-PBE, relaxed)
data_Ba2HfF
_space_group_name_H-M_alt 'F m -3 m'
_space_group_IT_number 225
_space_group_name_Hall '-F 4 2 3'
_cell_length_a 8.2633
_cell_length_b 8.2633
_cell_length_c 8.2633
_cell_angle_alpha 90.00
_cell_angle_beta 90.00
_cell_angle_gamma 90.00
loop_
_atom_site_label
_atom_site_type_symbol
_atom_site_fract_x
_atom_site_fract_y
_atom_site_fract_z
Ba1 Ba 0.2500 0.2500 0.2500
Hf1 Hf 0.0000 0.0000 0.0000
F1 F 0.0000 0.0000 0.5000
# formation energy from raw total energies	0.0171	eV per atom
# VASP energy	-3.9004	eV/atom

***

# 18
# BaHf3F (GGA-PBE, relaxed)
data_BaHf3F
_space_group_name_H-M_alt 'P m -3 m'
_space_group_IT_number 221
_space_group_name_Hall '-P 4 2 3'
_cell_length_a 4.8464
_cell_length_b 4.8464
_cell_length_c 4.8464
_cell_angle_alpha 90.00
_cell_angle_beta 90.00
_cell_angle_gamma 90.00
loop_
_atom_site_label
_atom_site_type_symbol
_atom_site_fract_x
_atom_site_fract_y
_atom_site_fract_z
Ba1 Ba 0.0000 0.0000 0.0000
Hf1 Hf 0.0000 0.5000 0.5000
F1 F 0.5000 0.5000 0.5000
# formation energy from raw total energies	0.0296	eV per atom
# VASP energy	-6.7013	eV/atom

***

# 19
# Ba2HfF (GGA-PBE, relaxed)
data_Ba2HfF
_space_group_name_H-M_alt 'I -4 2 d'
_space_group_IT_number 122
_space_group_name_Hall 'I -4 2bw'
_cell_length_a 8.0929
_cell_length_b 8.0929
_cell_length_c 8.6999
_cell_angle_alpha 90.00
_cell_angle_beta 90.00
_cell_angle_gamma 90.00
loop_
_atom_site_label
_atom_site_type_symbol
_atom_site_fract_x
_atom_site_fract_y
_atom_site_fract_z
Ba1 Ba 0.1454 0.2500 0.1250
Hf1 Hf 0.0000 0.0000 0.5000
F1 F 0.0000 0.0000 0.0000
# formation energy from raw total energies	-0.5817	eV per atom
# VASP energy	-4.4992	eV/atom

***

# 20
# BaHfF3 (GGA-PBE, relaxed)
data_BaHfF3
_space_group_name_H-M_alt 'P m -3 m'
_space_group_IT_number 221
_space_group_name_Hall '-P 4 2 3'
_cell_length_a 4.5394
_cell_length_b 4.5394
_cell_length_c 4.5394
_cell_angle_alpha 90.00
_cell_angle_beta 90.00
_cell_angle_gamma 90.00
loop_
_atom_site_label
_atom_site_type_symbol
_atom_site_fract_x
_atom_site_fract_y
_atom_site_fract_z
Ba1 Ba 0.0000 0.0000 0.0000
Hf1 Hf 0.5000 0.5000 0.5000
F1 F 0.0000 0.5000 0.5000
# formation energy from raw total energies	-2.2576	eV per atom
# VASP energy	-5.7556	eV/atom

***

# 21
# BaHf2F11 (GGA-PBE, relaxed)
data_BaHf2F11
_space_group_name_H-M_alt 'I b a m'
_space_group_IT_number 72
_space_group_name_Hall '-I 2 2c'
_cell_length_a 7.8992
_cell_length_b 10.4361
_cell_length_c 12.2722
_cell_angle_alpha 90.00
_cell_angle_beta 90.00
_cell_angle_gamma 90.00
loop_
_atom_site_label
_atom_site_type_symbol
_atom_site_fract_x
_atom_site_fract_y
_atom_site_fract_z
Ba1 Ba 0.0000 0.0000 0.2500
Hf1 Hf 0.1278 0.3210 0.0000
F1 F 0.0000 0.5000 0.0000
F2 F 0.1047 0.1947 0.1235
F3 F 0.1315 0.2796 0.5000
F4 F 0.2490 0.0803 0.3835
# formation energy from raw total energies	-3.5535	eV per atom
# VASP energy	-6.5830	eV/atom

***

# 22
# BaHfF3 (GGA-PBE, relaxed)
data_BaHfF3
_space_group_name_H-M_alt 'P m -3 m'
_space_group_IT_number 221
_space_group_name_Hall '-P 4 2 3'
_cell_length_a 5.0643
_cell_length_b 5.0643
_cell_length_c 5.0643
_cell_angle_alpha 90.00
_cell_angle_beta 90.00
_cell_angle_gamma 90.00
loop_
_atom_site_label
_atom_site_type_symbol
_atom_site_fract_x
_atom_site_fract_y
_atom_site_fract_z
Ba1 Ba 0.0000 0.0000 0.0000
Hf1 Hf 0.5000 0.5000 0.5000
F1 F 0.0000 0.0000 0.5000
# formation energy from raw total energies	-1.6899	eV per atom
# VASP energy	-5.1879	eV/atom

***

# 23
# BaHf3F (GGA-PBE, relaxed)
data_BaHf3F
_space_group_name_H-M_alt 'P m -3 m'
_space_group_IT_number 221
_space_group_name_Hall '-P 4 2 3'
_cell_length_a 5.3959
_cell_length_b 5.3959
_cell_length_c 5.3959
_cell_angle_alpha 90.00
_cell_angle_beta 90.00
_cell_angle_gamma 90.00
loop_
_atom_site_label
_atom_site_type_symbol
_atom_site_fract_x
_atom_site_fract_y
_atom_site_fract_z
Ba1 Ba 0.0000 0.0000 0.0000
Hf1 Hf 0.0000 0.0000 0.5000
F1 F 0.5000 0.5000 0.5000
# formation energy from raw total energies	1.9707	eV per atom
# VASP energy	-4.7602	eV/atom

***

# 24
# BaHfIF2 (GGA-PBE, relaxed)
data_BaHfIF2
_space_group_name_H-M_alt 'P 4/m m m'
_space_group_IT_number 123
_space_group_name_Hall '-P 4 2'
_cell_length_a 4.4705
_cell_length_b 4.4705
_cell_length_c 7.5815
_cell_angle_alpha 90.00
_cell_angle_beta 90.00
_cell_angle_gamma 90.00
loop_
_atom_site_label
_atom_site_type_symbol
_atom_site_fract_x
_atom_site_fract_y
_atom_site_fract_z
Ba1 Ba 0.0000 0.0000 0.0000
Hf1 Hf 0.0000 0.0000 0.5000
I1 I 0.5000 0.5000 0.0000
F1 F 0.0000 0.5000 0.5000
# formation energy from raw total energies	-1.8309	eV per atom
# VASP energy	-5.2647	eV/atom